The following is a DFT calculation (PBE) of a relaxed SbHPd2Ru crystal.

Properties
As for the calculated total energy: -5.55 eV/atom. The total magnetization is 0.0 μB per formula unit.

Cell and atoms, written as CIF:
```
data_SbHPd2Ru
_chemical_formula_sum 'Sb1 H1 Pd2 Ru1'
_symmetry_space_group_name_H-M 'P 4/m m m'
_symmetry_Int_Tables_number 123
_symmetry_space_group_name_Hall '-P 4 2'
_cell_length_a 4.034
_cell_length_b 4.034
_cell_length_c 4.121
_cell_angle_alpha 90.00
_cell_angle_beta 90.00
_cell_angle_gamma 90.00
loop_
_atom_site_label
_atom_site_type_symbol
_atom_site_fract_x
_atom_site_fract_y
_atom_site_fract_z
_atom_site_occupancy
Sb1 Sb 0.000 0.000 0.000 1
H1 H 0.500 0.500 0.500 1
Pd1 Pd 0.000 0.500 0.500 1
Ru1 Ru 0.500 0.500 0.000 1
```